(1)
A plane-wave DFT calculation with GGA-PBE was carried out for crystalline RuRh at its relaxed geometry.

Unit cell a=5.1136 b=5.1136 c=4.7343 alpha=116.95 beta=116.95 gamma=30.91
Closest atoms and distances in Å follow each position.
Positions (direct):
Ru 0.1272 0.1272 0.2925  5 Ru 2.67-2.73, 7 Rh 2.67-2.75
Ru 0.8728 0.8728 0.7075  5 Ru 2.67-2.73, 7 Rh 2.67-2.75
Rh 0.3776 0.3776 0.2083  7 Ru 2.67-2.75, 5 Rh 2.68-2.73
Rh 0.6224 0.6224 0.7917  7 Ru 2.67-2.75, 5 Rh 2.68-2.73

Output
The value obtained for the formation energy is 0.0336 eV/atom.


(2)
A plane-wave DFT calculation with GGA-PBE was carried out for crystalline Sm2ErPaSe4 at its relaxed geometry.

Unit cell a=7.1131 b=4.0708 c=7.1769 alpha=90.00 beta=108.90 gamma=90.00
Closest atoms and distances in Å follow each position.
Positions (direct):
Sm 0.0000 0.0000 0.0000  6 Se 2.95-2.96
Sm 0.0000 0.5000 0.5000  6 Se 2.92-2.93
Er 0.5000 0.0000 0.5000  6 Se 2.86
Pa 0.5000 0.5000 0.0000  6 Se 2.89
Se 0.2569 0.0000 0.7486  1 Er 2.86, 2 Pa 2.89, 3 Sm 2.92-2.95
Se 0.2603 0.5000 0.2566  2 Er 2.86, 1 Pa 2.89, 3 Sm 2.93-2.96
Se 0.7397 0.5000 0.7434  2 Er 2.86, 1 Pa 2.89, 3 Sm 2.93-2.96
Se 0.7431 0.0000 0.2514  1 Er 2.86, 2 Pa 2.89, 3 Sm 2.92-2.95


(3)
A plane-wave DFT calculation with GGA-PBE was carried out for crystalline AcDy7Y3 at its relaxed geometry.

Unit cell a=6.5457 b=6.7220 c=8.6771 alpha=98.52 beta=100.24 gamma=94.73
Closest atoms and distances in Å follow each position.
Positions (direct):
Ac 0.0000 0.0000 0.0000  8 Dy 3.36-3.75
Dy 0.0000 0.5000 0.0000  2 Ac 3.36, 2 Y 3.39, 6 Dy 3.52-3.55
Dy 0.0474 0.2065 0.6353  5 Dy 3.30-3.55, 4 Y 3.45-3.68, 1 Ac 3.69
Dy 0.2394 0.7106 0.7195  4 Y 3.38-3.58, 5 Dy 3.42-3.78, 1 Ac 3.55
Dy 0.4845 0.2488 0.9019  4 Dy 3.31-3.55, 2 Y 3.65-3.66
Dy 0.5155 0.7512 0.0981  4 Dy 3.31-3.55, 2 Y 3.65-3.66
Dy 0.7606 0.2894 0.2805  4 Y 3.38-3.58, 5 Dy 3.42-3.78, 1 Ac 3.55
Dy 0.9526 0.7935 0.3647  5 Dy 3.30-3.55, 4 Y 3.45-3.68, 1 Ac 3.69
Y 0.2959 0.4325 0.3471  2 Y 3.37-3.63, 7 Dy 3.38-3.66
Y 0.5000 0.0000 0.5000  8 Dy 3.47-3.68, 2 Y 3.63
Y 0.7041 0.5675 0.6529  2 Y 3.37-3.63, 7 Dy 3.38-3.66

Output
The value obtained for the energy above the most stable polymorph in this dataset is 0 meV per atom. The value obtained for the formation energy is 0.1270 eV/atom.


(4)
A plane-wave DFT calculation with GGA-PBE was carried out for crystalline PmDySi at its relaxed geometry.

Unit cell a=7.9433 b=7.9433 c=4.2695 alpha=90.00 beta=90.00 gamma=120.00
Closest atoms and distances in Å follow each position.
Positions (direct):
Pm 0.0000 0.5940 0.0000  5 Si 3.22-3.23, 6 Dy 3.40-3.55
Pm 0.4060 0.4060 0.0000  5 Si 3.22-3.23, 6 Dy 3.40-3.55
Pm 0.5940 0.0000 0.0000  5 Si 3.22-3.23, 6 Dy 3.40-3.55
Dy 0.0000 0.2612 0.5000  4 Si 2.98
Dy 0.2612 0.0000 0.5000  4 Si 2.98
Dy 0.7388 0.7388 0.5000  4 Si 2.98
Si 0.0000 0.0000 0.0000  6 Dy 2.98, 3 Pm 3.23
Si 0.3333 0.6667 0.5000  3 Dy 2.98, 6 Pm 3.22
Si 0.6667 0.3333 0.5000  3 Dy 2.98, 6 Pm 3.22

Output
The value obtained for the energy above the most stable polymorph in this dataset is 0 meV per atom.


(5)
A plane-wave DFT calculation with GGA-PBE was carried out for crystalline TlInAg2 at its relaxed geometry.

Unit cell a=3.2357 b=4.0676 c=6.9414 alpha=90.00 beta=90.00 gamma=90.00
Closest atoms and distances in Å follow each position.
Positions (direct):
Tl 0.0000 0.0000 0.0000  5 Ag 3.15-3.18, 2 Tl 3.24, 4 In 3.39
In 0.5000 0.5000 0.6856  5 Ag 2.98-3.04, 2 In 3.24
Ag 0.0000 0.0000 0.4577  6 Ag 2.95-3.24, 4 In 3.04, 1 Tl 3.18
Ag 0.5000 0.5000 0.2570  6 Ag 2.95-3.24, 1 In 2.98, 4 Tl 3.15

Output
The value obtained for the formation energy is 0.0663 eV/atom.


(6)
A plane-wave DFT calculation with GGA-PBE was carried out for crystalline AgIrO3 at its relaxed geometry.

Unit cell a=3.9858 b=3.9858 c=3.9858 alpha=90.00 beta=90.00 gamma=90.00
Closest atoms and distances in Å follow each position.
Positions (direct):
Ag 0.0000 0.0000 0.0000  6 O 1.99
Ir 0.5000 0.5000 0.5000  12 O 2.82
O 0.0000 0.0000 0.5000  2 Ag 1.99
O 0.0000 0.5000 0.0000  2 Ag 1.99
O 0.5000 0.0000 0.0000  2 Ag 1.99


Taking the records one at a time from the top gives E_tot values of -8.280 -6.296 -4.938 -5.467 -2.635 -4.101 eV/atom.